A plane-wave DFT calculation with PBE-GGA was carried out for an optimized crystal structure of Ta2NiBr. Values from VASP.

Quantum ESPRESSO input file:
```
&SYSTEM
  ibrav = 0, nat = 4, ntyp = 3
/
ATOMIC_SPECIES
Ta 180.95 Ta.upf
Ni 58.69 Ni.upf
Br 79.90 Br.upf
CELL_PARAMETERS angstrom
-1.610 2.335 4.472
1.610 -2.335 4.472
1.610 2.335 -4.472
ATOMIC_POSITIONS crystal
Ta 0.248 0.248 0.000
Ta 0.752 0.752 0.000
Ni 0.000 0.500 0.500
Br 0.500 0.000 0.500
```

Formation energy without anion corrections, kJ per mole of atoms: 56
Crystal system: orthorhombic
E above lowest polymorph, eV/f.u.: 1.54